MnP2HO GGA+U relaxed; ρ = 3.22 g cm⁻³; uncorrected energy = -0.3186 Ry/atom
1.0
4.507 0.000 0.000
0.000 4.507 0.000
0.000 0.000 3.402
Mn P H O
1 2 1 1
direct
0.000 0.000 0.000 Mn
0.000 0.500 0.000 P
0.500 0.000 0.000 P
0.500 0.500 0.500 H
0.000 0.000 0.500 O